Entry 1:
Entry from the Alexandria database: CsNbAgF6 after structural relaxation (GGA-PBE).

The uncorrected energy is -95.54 eV for the cell shown. Its formation energy without anion corrections is -2.530 eV per atom.

It has space group C2 (No. 5), with a = 6.3344 Å, b = 11.0969 Å, c = 5.7397 Å, α = 90.00°, β = 90.24° and γ = 90.00°. The distinct sites, in fractional coordinates, are Cs at (0.0000, 0.0000, 0.0000), Nb at (0.0000, 0.6675, 0.5000), Ag at (0.0000, 0.3361, 0.5000), F at (0.1185, 0.5298, 0.3121), F at (0.1473, 0.7964, 0.3133) and F at (0.2297, 0.1762, 0.3151).

=====

Entry 2:
Entry from the Alexandria database: Cs2NdAgF6 after structural relaxation (GGA-PBE).

The uncorrected energy is -198.89 eV for the cell shown. Its formation energy without anion corrections is -2.917 eV per atom.

It has space group Fm-3m (No. 225), with a = 9.5549 Å, b = 9.5549 Å, c = 9.5549 Å, α = 90.00°, β = 90.00° and γ = 90.00°. The distinct sites, in fractional coordinates, are Cs at (0.2500, 0.2500, 0.2500), Nd at (0.0000, 0.0000, 0.0000), Ag at (0.0000, 0.0000, 0.5000) and F at (0.0000, 0.0000, 0.2389).

=====

| no. | M_tot (μB/cell) |
| --- | --- |
| 1 | 2.0 |
| 2 | 0.0 |